(1)
A plane-wave DFT calculation with PBE was carried out for a geometry-optimized AcLaMgSc structure.

## Properties
N(E_F) = 4.75 states/eV/cell
space group = F-43m
calculated volume = 130 Å³ per cell
formation energy = 0.7 kcal/mol of atoms

a b c (Å): 5.6886 5.6886 5.6886
angles (deg): 60.00 60.00 60.00
Sites, in units of the cell vectors:
Ac 0.0000 0.0000 0.0000
La 0.5000 0.5000 0.5000
Mg 0.2500 0.2500 0.2500
Sc 0.7500 0.7500 0.7500

***

(2)
A plane-wave DFT calculation with PBE was carried out for a geometry-optimized AcLaSmMg structure.

## Properties
N(E_F) = 5.96 states/eV/cell
space group = F-43m
calculated volume = 140 Å³ per cell
formation energy = 2.0 kcal/mol of atoms
polymorph energy (0 for the lowest one) = 125 meV/atom

a b c (Å): 5.8293 5.8293 5.8293
angles (deg): 60.00 60.00 60.00
Sites, in units of the cell vectors:
Ac 0.0000 0.0000 0.0000
La 0.2500 0.2500 0.2500
Sm 0.7500 0.7500 0.7500
Mg 0.5000 0.5000 0.5000

***

(3)
A plane-wave DFT calculation with PBE was carried out for a geometry-optimized AcLa2SmMg structure.

## Properties
N(E_F) = 13.95 states/eV/cell
space group = P2_1/m
calculated volume = 356 Å³ per cell
formation energy = 0.2 kcal/mol of atoms

a b c (Å): 7.1769 5.6557 8.8672
angles (deg): 90.00 98.45 90.00
Sites, in units of the cell vectors:
Ac 0.1715 0.2500 0.0606
Ac 0.8285 0.7500 0.9394
La 0.0703 0.7500 0.3587
La 0.3622 0.2500 0.4979
La 0.6378 0.7500 0.5021
La 0.9297 0.2500 0.6413
Sm 0.2786 0.7500 0.7630
Sm 0.7214 0.2500 0.2370
Mg 0.4465 0.7500 0.1394
Mg 0.5535 0.2500 0.8606

***

(4)
A plane-wave DFT calculation with PBE was carried out for a geometry-optimized AcLaSmMg structure.

## Properties
N(E_F) = 4.77 states/eV/cell
space group = P4mm
calculated volume = 139 Å³ per cell
formation energy = -0.9 kcal/mol of atoms
polymorph energy (0 for the lowest one) = 0 meV/atom

a b c (Å): 3.8805 3.8805 9.2257
angles (deg): 90.00 90.00 90.00
Sites, in units of the cell vectors:
Ac 0.0000 0.0000 0.0000
La 0.5000 0.5000 0.7095
Sm 0.5000 0.5000 0.2793
Mg 0.0000 0.0000 0.4844

***

(5)
A plane-wave DFT calculation with PBE was carried out for a geometry-optimized AcLa2Mg2Sn2 structure.

## Properties
N(E_F) = 6.78 states/eV/cell
space group = R-3m
calculated volume = 213 Å³ per cell
formation energy = -9.2 kcal/mol of atoms

a b c (Å): 10.1843 10.1843 10.1843
angles (deg): 28.54 28.54 28.54
Sites, in units of the cell vectors:
Ac 0.0000 0.0000 0.0000
La 0.1351 0.1351 0.1351
La 0.8649 0.8649 0.8649
Mg 0.4130 0.4130 0.4130
Mg 0.5870 0.5870 0.5870
Sn 0.2610 0.2610 0.2610
Sn 0.7390 0.7390 0.7390

***

(6)
A plane-wave DFT calculation with PBE was carried out for a geometry-optimized AcLaMgSn structure.

## Properties
N(E_F) = 3.71 states/eV/cell
space group = F-43m
calculated volume = 129 Å³ per cell
formation energy = -9.2 kcal/mol of atoms

a b c (Å): 5.6745 5.6745 5.6745
angles (deg): 60.00 60.00 60.00
Sites, in units of the cell vectors:
Ac 0.0000 0.0000 0.0000
La 0.5000 0.5000 0.5000
Mg 0.7500 0.7500 0.7500
Sn 0.2500 0.2500 0.2500

***

(7)
A plane-wave DFT calculation with PBE was carried out for a geometry-optimized SrAcLaMg structure.

## Properties
N(E_F) = 6.11 states/eV/cell
space group = P4mm
calculated volume = 158 Å³ per cell
formation energy = -0.2 kcal/mol of atoms
polymorph energy (0 for the lowest one) = 0 meV/atom

a b c (Å): 3.9558 3.9558 10.1047
angles (deg): 90.00 90.00 90.00
Sites, in units of the cell vectors:
Sr 0.0000 0.0000 0.0000
Ac 0.5000 0.5000 0.6871
La 0.0000 0.0000 0.4313
Mg 0.5000 0.5000 0.2286

***

(8)
A plane-wave DFT calculation with PBE was carried out for a geometry-optimized SrAcLaMg structure.

## Properties
N(E_F) = 4.39 states/eV/cell
space group = F-43m
calculated volume = 157 Å³ per cell
formation energy = 3.2 kcal/mol of atoms
polymorph energy (0 for the lowest one) = 148 meV/atom

a b c (Å): 6.0585 6.0585 6.0585
angles (deg): 60.00 60.00 60.00
Sites, in units of the cell vectors:
Sr 0.0000 0.0000 0.0000
Ac 0.7500 0.7500 0.7500
La 0.5000 0.5000 0.5000
Mg 0.2500 0.2500 0.2500

***

(9)
A plane-wave DFT calculation with PBE was carried out for a geometry-optimized AcLaTbMg structure.

## Properties
N(E_F) = 6.28 states/eV/cell
space group = F-43m
calculated volume = 138 Å³ per cell
formation energy = 2.4 kcal/mol of atoms
polymorph energy (0 for the lowest one) = 132 meV/atom

a b c (Å): 5.8021 5.8021 5.8021
angles (deg): 60.00 60.00 60.00
Sites, in units of the cell vectors:
Ac 0.0000 0.0000 0.0000
La 0.2500 0.2500 0.2500
Tb 0.7500 0.7500 0.7500
Mg 0.5000 0.5000 0.5000

***

(10)
A plane-wave DFT calculation with PBE was carried out for a geometry-optimized AcLaTbMg structure.

## Properties
N(E_F) = 4.69 states/eV/cell
space group = F-43m
calculated volume = 139 Å³ per cell
formation energy = 0.6 kcal/mol of atoms
polymorph energy (0 for the lowest one) = 57 meV/atom

a b c (Å): 5.8079 5.8079 5.8079
angles (deg): 60.00 60.00 60.00
Sites, in units of the cell vectors:
Ac 0.0000 0.0000 0.0000
La 0.5000 0.5000 0.5000
Tb 0.7500 0.7500 0.7500
Mg 0.2500 0.2500 0.2500

***

(11)
A plane-wave DFT calculation with PBE was carried out for a geometry-optimized AcLaTbMg structure.

## Properties
N(E_F) = 4.72 states/eV/cell
space group = P4mm
calculated volume = 137 Å³ per cell
formation energy = -0.7 kcal/mol of atoms
polymorph energy (0 for the lowest one) = 0 meV/atom

a b c (Å): 3.8579 3.8579 9.1931
angles (deg): 90.00 90.00 90.00
Sites, in units of the cell vectors:
Ac 0.0000 0.0000 0.0000
La 0.5000 0.5000 0.7058
Tb 0.5000 0.5000 0.2777
Mg 0.0000 0.0000 0.4774

***

(12)
A plane-wave DFT calculation with PBE was carried out for a geometry-optimized Ac2LaMgTe5 structure.

## Properties
ΔE_f (raw) = -1407 meV/atom
N(E_F) = 3.26 states/eV/cell
space group = Cmc2_1
calculated volume = 624 Å³ per cell

a b c (Å): 10.1167 10.1167 13.8578
angles (deg): 90.00 90.00 153.88
Sites, in units of the cell vectors:
Ac 0.1135 0.8865 0.5000
Ac 0.1311 0.8689 0.1251
Ac 0.8689 0.1311 0.6251
Ac 0.8865 0.1135 0.0000
La 0.2020 0.7980 0.8266
La 0.7980 0.2020 0.3266
Mg 0.4482 0.5518 0.2672
Mg 0.5518 0.4482 0.7672
Te 0.0445 0.9555 0.8793
Te 0.2883 0.7117 0.4897
Te 0.3162 0.6838 0.1626
Te 0.3646 0.6354 0.8160
Te 0.4950 0.5050 0.5873
Te 0.5050 0.4950 0.0873
Te 0.6354 0.3646 0.3160
Te 0.6838 0.3162 0.6626
Te 0.7117 0.2883 0.9897
Te 0.9555 0.0445 0.3793